TiBTeN2 | the Alexandria database | PBE-GGA | optimized geometry; total magnetization = 0.000 μB/f.u.; space-group type = P4/mmm (123); energy above the lowest structure with this stoichiometry = 0 meV/atom; ΔE_f (raw) = 4.8 eV/f.u.; total energy = -5.9153 eV/atom; density = 4.2 g cm⁻³
1.0
-0.406 -0.406 -3.732
1.945 -3.234 0.140
-5.080 -3.017 0.881
N Te B Ti
2 1 1 1
Cartesian
0.972 -1.617 0.070 N
-0.203 -0.203 -1.866 N
-2.540 -1.508 0.440 Te
-1.771 -3.328 -1.356 B
0.000 0.000 0.000 Ti

***

Ca2YAl | the Alexandria database | PBE-GGA | optimized geometry; total magnetization = 0.000 μB/f.u.; space-group type = P4mm (99); total energy = -3.6916 eV/atom; DFT formation energy = -0.1392 eV per atom; density = 2.6 g cm⁻³
1.0
-0.281 3.060 -1.969
-2.995 -1.317 -1.619
-5.421 3.909 6.850
Y Ca Al
1 2 1
Cartesian
-3.023 2.180 3.820 Y
-5.104 3.681 6.449 Ca
-3.066 1.901 0.010 Ca
-5.636 3.755 3.257 Al

***

SrTi2Rh | the Alexandria database | PBE-GGA | optimized geometry; total magnetization = 0.000 μB/f.u.; space-group type = I4_1/amd (141); total energy = -5.7278 eV/atom; DFT formation energy = 0.4779 eV per atom; density = 4.5 g cm⁻³
1.0
4.859 0.000 0.000
0.000 4.859 0.000
2.429 2.429 8.929
Sr Rh Ti
2 2 4
Cartesian
2.429 2.429 0.000 Sr
2.429 4.859 4.464 Sr
0.000 0.000 0.000 Rh
4.859 2.429 4.464 Rh
4.859 1.215 2.232 Ti
4.858 3.644 2.232 Ti
3.644 2.429 6.697 Ti
6.073 2.430 6.697 Ti

***

Tb4Sm2YEr2 | the Alexandria database | PBE-GGA | optimized geometry; total magnetization = 0.000 μB/f.u.; space-group type = C2/m (12); total energy = -4.8213 eV/atom; DFT formation energy = 0.0175 eV per atom; density = 7.8 g cm⁻³
1.0
-3.285 -0.974 -0.967
1.140 -5.121 7.844
-3.339 6.533 4.763
Tb Sm Y Er
4 2 1 2
Cartesian
-4.155 0.759 6.800 Tb
-1.329 -0.322 4.840 Tb
-2.808 1.054 1.923 Tb
-2.676 -0.617 9.717 Tb
-3.140 -2.677 6.813 Sm
-2.344 3.115 4.827 Sm
0.000 0.000 0.000 Y
-3.672 2.801 9.656 Er
-1.812 -2.363 1.984 Er

***

Sc3AlN | the Alexandria database | PBE-GGA | optimized geometry; total magnetization = 0.000 μB/f.u.; space-group type = Cmmm (65); ΔE_f (raw) = -5.0 eV/f.u.; total energy = -7.2210 eV/atom; density = 3.3 g cm⁻³
1.0
-2.332 -4.116 4.106
4.033 -1.454 5.609
-1.901 3.293 2.221
Sc Al N
6 2 2
Cartesian
0.687 -0.609 2.139 Sc
0.976 -4.386 7.986 Sc
2.099 -2.403 6.008 Sc
-2.055 -0.132 3.450 Sc
-0.479 -2.668 4.192 Sc
-0.804 -1.910 7.156 Sc
-3.365 -2.207 5.404 Al
0.506 0.165 5.201 Al
-1.152 -1.784 2.306 N
0.194 -3.551 6.078 N

***

V2Si2Pd | the Alexandria database | PBE-GGA | optimized geometry; total magnetization = 0.000 μB/f.u.; space-group type = P4/mbm (127); ΔE_f (raw) = -2.3 eV/f.u.; total energy = -7.3162 eV/atom; density = 6.5 g cm⁻³
1.0
6.301 0.000 0.000
0.000 6.301 0.000
0.000 0.000 3.425
Si Pd V
4 2 4
Cartesian
2.327 5.477 0.000 Si
5.477 3.974 0.000 Si
3.974 0.823 0.000 Si
0.823 2.327 0.000 Si
0.000 0.000 0.000 Pd
3.150 3.150 0.000 Pd
1.058 4.209 1.712 V
4.209 5.243 1.712 V
5.243 2.092 1.712 V
2.092 1.058 1.712 V

***

Zr2IrPt | the Alexandria database | PBE-GGA | optimized geometry; total magnetization = 0.000 μB/f.u.; space-group type = P4/mmm (123); total energy = -8.8194 eV/atom; DFT formation energy = -0.8199 eV per atom; density = 13.0 g cm⁻³
1.0
-3.936 1.139 1.373
-0.590 -3.968 1.599
1.515 1.143 3.393
Ir Pt Zr
1 1 2
Cartesian
-1.211 1.141 2.383 Ir
0.462 -1.413 2.496 Pt
0.000 0.000 0.000 Zr
-2.263 -1.415 1.486 Zr

***

MnCoAsSe2 | the Alexandria database | PBE-GGA | optimized geometry; total magnetization = 0.153 μB/f.u.; space-group type = P4/mmm (123); energy above the lowest structure with this stoichiometry = 33 meV/atom; ΔE_f (raw) = 4.5 eV/f.u.; total energy = -4.6814 eV/atom; density = 5.9 g cm⁻³
1.0
-3.003 3.633 -0.295
-1.738 -1.092 4.253
2.945 2.586 1.867
As Mn Co Se
1 1 1 2
Cartesian
1.473 1.293 0.934 As
-0.898 2.564 2.913 Mn
0.000 0.000 0.000 Co
-0.869 -0.546 2.127 Se
-1.501 1.816 -0.147 Se

***

NpTcW | the Alexandria database | PBE-GGA | optimized geometry; total magnetization = 2.954 μB/f.u.; space-group type = I4mm (107); energy above the lowest structure with this stoichiometry = 0 meV/atom; total energy = -11.8088 eV/atom; DFT formation energy = 0.2778 eV per atom; density = 15.9 g cm⁻³
1.0
3.063 0.000 0.000
0.000 3.063 0.000
-1.532 -1.532 5.762
Np Tc W
1 1 1
Cartesian
1.532 1.532 5.737 Np
0.000 0.000 3.630 Tc
1.532 1.532 2.157 W

***

InAgBi2Ru | the Alexandria database | PBE-GGA | optimized geometry; total magnetization = 0.000 μB/f.u.; space-group type = P4/mmm (123); total energy = -4.0834 eV/atom; DFT formation energy = 0.4420 eV per atom; density = 8.5 g cm⁻³
1.0
5.184 0.000 0.000
0.000 5.404 0.000
0.000 0.000 5.184
Ru Bi Ag In
1 2 1 1
Cartesian
0.000 0.000 0.000 Ru
0.000 0.000 2.592 Bi
2.592 0.000 0.000 Bi
0.000 2.702 0.000 Ag
2.592 2.702 2.592 In

***

Zr5Fe | the Alexandria database | PBE-GGA | optimized geometry; total magnetization = 0.339 μB/f.u.; space-group type = Cmmm (65); energy above the lowest structure with this stoichiometry = 104 meV/atom; total energy = -8.4509 eV/atom; DFT formation energy = 0.0830 eV per atom; density = 6.8 g cm⁻³
1.0
-3.263 0.770 -3.879
-0.266 -3.241 -0.420
-5.551 1.472 4.961
Fe Zr
1 5
Cartesian
0.000 0.000 0.000 Fe
-5.558 -1.334 1.022 Zr
-1.765 -1.663 1.154 Zr
-1.765 -1.235 -2.150 Zr
-4.052 -0.106 3.387 Zr
-3.522 0.336 -0.359 Zr

***

Sr2YTc | the Alexandria database | PBE-GGA | optimized geometry; total magnetization = 0.000 μB/f.u.; space-group type = Cm (8); energy above the lowest structure with this stoichiometry = 120 meV/atom; total energy = -4.6106 eV/atom; DFT formation energy = 0.4379 eV per atom; density = 4.2 g cm⁻³
1.0
4.761 -0.016 0.013
2.399 4.113 0.013
2.357 1.348 7.280
Sr Tc Y
2 1 1
Cartesian
2.362 1.351 6.644 Sr
2.373 1.358 2.452 Sr
4.754 2.720 4.559 Tc
7.142 4.086 4.585 Y